Here is a relaxed structure of SrCr2Ag from Alexandria. Energies are from PBE.

* energy of formation from the pure elements: 0.595 eV per atom
* SG: No. 44
* E above lowest polymorph: 0.71 eV per formula unit

Cell and atoms, written as POSCAR:
```
SrCr2Ag
1.0
-1.234 0.163 -5.045
-3.104 -4.167 0.052
-0.339 4.389 2.761
Cr Sr Ag
2 1 1
direct
0.795 0.295 0.500
0.979 0.979 0.000
0.506 0.506 0.000
0.220 0.720 0.500
```

---

Here is a relaxed structure of AlSi2Ni from Alexandria. Energies are from PBE.

* SG: No. 12
* raw formation energy: 0.0587 eV/atom

Cell and atoms, written as POSCAR:
```
AlSi2Ni
1.0
5.268 -0.006 -0.046
-2.722 4.510 -0.046
0.819 1.449 2.276
Si Al Ni
2 1 1
direct
0.000 0.000 0.000
0.500 0.500 0.000
0.500 0.000 0.500
0.000 0.500 0.500
```

---

Here is a relaxed structure of MgSi2Os from Alexandria. Energies are from PBE.

* SG: No. 123
* raw formation energy: -0.0892 eV/atom

Cell and atoms, written as POSCAR:
```
MgSi2Os
1.0
2.941 0.000 0.000
0.000 2.941 0.000
0.000 0.000 7.193
Mg Si Os
1 2 1
direct
0.500 0.500 0.250
0.000 0.000 0.956
0.000 0.000 0.544
0.500 0.500 0.750
```

---

Here is a relaxed structure of La2BeHgC from Alexandria. Energies are from PBE.

* energy of formation from the pure elements: 0.324 eV per atom
* SG: No. 123
* E above lowest polymorph: 2.67 eV per formula unit

Cell and atoms, written as POSCAR:
```
La2BeHgC
1.0
-0.887 2.108 4.680
-2.686 -3.360 1.005
4.039 -2.644 1.957
La C Be Hg
2 1 1 1
direct
0.000 0.000 0.500
0.500 0.000 0.000
0.000 0.000 0.000
0.500 0.500 0.500
0.000 0.500 0.000
```

---

Here is a relaxed structure of SrCaNiH6 from Alexandria. Energies are from PBE.

* SG: No. 156
* E: -3.675 eV/atom

Cell and atoms, written as POSCAR:
```
SrCaNiH6
1.0
4.958 0.000 0.001
2.479 4.294 0.000
-0.001 0.000 4.455
H Ni Ca Sr
6 1 1 1
direct
0.490 0.021 0.755
0.490 0.490 0.755
0.021 0.490 0.755
0.173 0.173 0.338
0.653 0.173 0.339
0.173 0.653 0.338
0.333 0.333 0.539
0.667 0.667 0.343
0.000 0.000 0.838
```

---

Here is a relaxed structure of TmPd4Pt from Alexandria. Energies are from PBE.

* energy of formation from the pure elements: -0.488 eV per atom
* SG: No. 216
* E above lowest polymorph: 0.84 eV per formula unit

Cell and atoms, written as POSCAR:
```
TmPd4Pt
1.0
5.268 0.000 0.000
2.634 4.562 0.000
2.634 1.521 4.301
Pd Tm Pt
4 1 1
direct
0.624 0.624 0.127
0.624 0.624 0.624
0.127 0.624 0.624
0.624 0.127 0.624
0.000 0.000 0.000
0.250 0.250 0.250
```

---

Here is a relaxed structure of LaMnW2 from Alexandria. Energies are from PBE.

* energy of formation from the pure elements: 0.906 eV per atom
* SG: No. 123
* E above lowest polymorph: 2.02 eV per formula unit

Cell and atoms, written as POSCAR:
```
LaMnW2
1.0
-0.733 -5.074 -0.255
0.285 -0.234 3.831
-3.798 0.533 0.315
W La Mn
2 1 1
direct
0.000 0.500 0.500
0.000 0.000 0.000
0.500 0.500 0.000
0.500 0.000 0.500
```

---

Here is a relaxed structure of CsNpTe3Pd from Alexandria. Energies are from PBE.

* SG: No. 11
* raw formation energy: -0.7211 eV/atom

Cell and atoms, written as POSCAR:
```
CsNpTe3Pd
1.0
-4.299 0.531 0.935
-1.101 -10.126 0.691
2.621 4.701 9.379
Te Cs Pd Np
6 2 2 2
direct
0.750 0.879 0.136
0.250 0.121 0.864
0.750 0.475 0.156
0.750 0.202 0.543
0.250 0.525 0.844
0.250 0.798 0.457
0.250 0.216 0.252
0.750 0.784 0.748
0.250 0.085 0.595
0.750 0.915 0.405
0.250 0.686 0.154
0.750 0.314 0.846
```

---

Here is a relaxed structure of HfGaNiSe3 from Alexandria. Energies are from PBE.

* SG: No. 11
* raw formation energy: -0.7586 eV/atom

Cell and atoms, written as POSCAR:
```
HfGaNiSe3
1.0
3.646 0.000 0.000
-1.823 7.028 0.000
0.000 0.000 9.955
Ni Se Hf Ga
2 6 2 2
direct
0.531 0.063 0.250
0.469 0.937 0.750
0.923 0.847 0.250
0.365 0.729 0.943
0.365 0.729 0.557
0.077 0.153 0.750
0.635 0.271 0.057
0.635 0.271 0.443
0.000 0.000 0.500
0.000 0.000 0.000
0.229 0.456 0.250
0.771 0.544 0.750
```

---

Here is a relaxed structure of Ca2La2Zn from Alexandria. Energies are from PBE.

* energy of formation from the pure elements: 0.164 eV per atom
* SG: No. 127
* E above lowest polymorph: 0.18 eV per formula unit

Cell and atoms, written as POSCAR:
```
Ca2La2Zn
1.0
7.776 0.000 0.000
0.000 7.776 0.000
0.000 0.000 5.865
Ca La Zn
4 4 2
direct
0.153 0.347 0.000
0.847 0.653 0.000
0.347 0.847 0.000
0.653 0.153 0.000
0.339 0.161 0.500
0.161 0.661 0.500
0.661 0.839 0.500
0.839 0.339 0.500
0.500 0.500 0.000
0.000 0.000 0.000
```

---

Here is a relaxed structure of Au3ClF from Alexandria. Energies are from PBE.

* SG: No. 221
* E above lowest polymorph: 0.00 eV per formula unit
* raw formation energy: 0.3635 eV/atom

Cell and atoms, written as POSCAR:
```
Au3ClF
1.0
4.703 0.000 0.000
0.000 4.703 0.000
0.000 0.000 4.703
Cl F Au
1 1 3
direct
0.500 0.500 0.500
0.000 0.000 0.000
0.000 0.000 0.500
0.500 0.000 0.000
0.000 0.500 0.000
```

---

Here is a relaxed structure of LaGa2Pt2 from Alexandria. Energies are from PBE.

* energy of formation from the pure elements: -0.571 eV per atom
* SG: No. 127

Cell and atoms, written as POSCAR:
```
LaGa2Pt2
1.0
7.544 0.000 0.000
0.000 7.544 0.000
0.000 0.000 3.507
Pt Ga La
4 4 2
direct
0.132 0.368 0.000
0.868 0.632 0.000
0.632 0.132 0.000
0.368 0.868 0.000
0.148 0.648 0.500
0.852 0.352 0.500
0.352 0.148 0.500
0.648 0.852 0.500
0.500 0.500 0.000
0.000 0.000 0.000
```